# 1
The following is a PBE-GGA calculation of a relaxed ZnIn2Br crystal, from the Alexandria database.

Computed properties:
- Density of states at the Fermi level: 2.362 states/eV per cell
- Raw formation energy: -144 meV per atom
- Crystal system: trigonal
- Space group: R3m (160)

Cell lengths 9.9665, 9.9665, 9.9665 Å; angles 20.75, 20.75, 20.75 degrees
Fractional coordinates of all 4 atoms:
In 0.2355 0.2355 0.2355
In 0.9931 0.9931 0.9931
Zn 0.4969 0.4969 0.4969
Br 0.7745 0.7745 0.7745

# 2
The following is a PBE-GGA calculation of a relaxed Be3ReGe crystal, from the Alexandria database.

Computed properties:
- ΔH_f (0 K): 1.08 eV/atom
- Density of states at the Fermi level: 1.988 states/eV per cell
- Crystal system: cubic
- Space group: Pm-3m (221)

Cell lengths 4.2982, 4.2982, 4.2982 Å; angles 90.00, 90.00, 90.00 degrees
Fractional coordinates of all 5 atoms:
Be 0.5000 0.0000 0.0000
Be 0.0000 0.0000 0.5000
Be 0.0000 0.5000 0.0000
Ge 0.5000 0.5000 0.5000
Re 0.0000 0.0000 0.0000

# 3
The following is a PBE-GGA calculation of a relaxed K2HAuSe2 crystal, from the Alexandria database.

Computed properties:
- Density of states at the Fermi level: 2.749 states/eV per cell
- Total energy: -2.90 eV per atom
- Crystal system: orthorhombic
- Space group: Ibam (72)

Cell lengths 6.1136, 7.0331, 8.2518 Å; angles 115.22, 111.74, 90.00 degrees
Fractional coordinates of all 12 atoms:
Au 0.7500 0.5000 0.0000
Au 0.2500 0.5000 0.0000
Se 0.0862 0.8714 0.1725
Se 0.9138 0.1286 0.8275
Se 0.4138 0.6989 0.8275
Se 0.5862 0.3011 0.1725
K 0.1613 0.3739 0.3225
K 0.3387 0.0514 0.6775
K 0.6613 0.9486 0.3225
K 0.8387 0.6261 0.6775
H 0.2500 0.0000 0.0000
H 0.7500 0.0000 0.0000

Please write out number 2 again, unchanged.
The following is a PBE-GGA calculation of a relaxed Be3ReGe crystal, from the Alexandria database.

Computed properties:
- ΔH_f (0 K): 1.08 eV/atom
- Density of states at the Fermi level: 1.988 states/eV per cell
- Crystal system: cubic
- Space group: Pm-3m (221)

Cell lengths 4.2982, 4.2982, 4.2982 Å; angles 90.00, 90.00, 90.00 degrees
Fractional coordinates of all 5 atoms:
Be 0.5000 0.0000 0.0000
Be 0.0000 0.0000 0.5000
Be 0.0000 0.5000 0.0000
Ge 0.5000 0.5000 0.5000
Re 0.0000 0.0000 0.0000

Copy entry 1 word for word.
The following is a PBE-GGA calculation of a relaxed ZnIn2Br crystal, from the Alexandria database.

Computed properties:
- Density of states at the Fermi level: 2.362 states/eV per cell
- Raw formation energy: -144 meV per atom
- Crystal system: trigonal
- Space group: R3m (160)

Cell lengths 9.9665, 9.9665, 9.9665 Å; angles 20.75, 20.75, 20.75 degrees
Fractional coordinates of all 4 atoms:
In 0.2355 0.2355 0.2355
In 0.9931 0.9931 0.9931
Zn 0.4969 0.4969 0.4969
Br 0.7745 0.7745 0.7745

Repeat the third record exactly.
The following is a PBE-GGA calculation of a relaxed K2HAuSe2 crystal, from the Alexandria database.

Computed properties:
- Density of states at the Fermi level: 2.749 states/eV per cell
- Total energy: -2.90 eV per atom
- Crystal system: orthorhombic
- Space group: Ibam (72)

Cell lengths 6.1136, 7.0331, 8.2518 Å; angles 115.22, 111.74, 90.00 degrees
Fractional coordinates of all 12 atoms:
Au 0.7500 0.5000 0.0000
Au 0.2500 0.5000 0.0000
Se 0.0862 0.8714 0.1725
Se 0.9138 0.1286 0.8275
Se 0.4138 0.6989 0.8275
Se 0.5862 0.3011 0.1725
K 0.1613 0.3739 0.3225
K 0.3387 0.0514 0.6775
K 0.6613 0.9486 0.3225
K 0.8387 0.6261 0.6775
H 0.2500 0.0000 0.0000
H 0.7500 0.0000 0.0000

Question: Which formula does entry 2 have?
Answer: Be3ReGe